Here is a relaxed LiTa2ZnSn crystal from the Alexandria database. Energies are from PBE-GGA.

## Properties
Calculated volume   19.60 Å³/atom
Density of states at the Fermi level   4.1 states/eV/cell
Calculated total energy   -5.38 eV per atom
Energy of formation   4.0 eV/f.u.

abc: 4.804 4.248 4.804
angles: 90.00 90.00 90.00
Fractional positions:
Ta (0.000, 0.000, 0.500)
Ta (0.500, 0.000, 0.000)
Li (0.000, 0.500, 0.000)
Zn (0.000, 0.000, 0.000)
Sn (0.500, 0.500, 0.500)


Here is a relaxed LiTbSn crystal from the Alexandria database. Energies are from PBE-GGA.

## Properties
Calculated volume   25.41 Å³/atom
Density of states at the Fermi level   2.4 states/eV/cell
Calculated total energy   -3.80 eV per atom
Energy of formation   -0.9 eV/f.u.

abc: 4.149 4.149 5.312
angles: 112.99 112.99 90.00
Fractional positions:
Sn (0.627, 0.627, 0.253)
Li (0.947, 0.947, 0.894)
Tb (0.277, 0.277, 0.553)


Here is a relaxed Li3Tb2Sn4 crystal from the Alexandria database. Energies are from PBE-GGA.

## Properties
Calculated volume   22.36 Å³/atom
Density of states at the Fermi level   7.6 states/eV/cell
Calculated total energy   -3.95 eV per atom
Energy of formation   -4.6 eV/f.u.

abc: 6.261 8.035 8.591
angles: 90.00 111.37 90.00
Fractional positions:
Li (0.478, 0.250, 0.456)
Li (0.022, 0.750, 0.544)
Li (0.978, 0.250, 0.456)
Li (0.500, 0.500, 0.000)
Li (0.000, 0.000, 0.000)
Li (0.522, 0.750, 0.544)
Sn (0.305, 0.250, 0.110)
Sn (0.695, 0.750, 0.890)
Sn (0.322, 0.477, 0.644)
Sn (0.678, 0.523, 0.356)
Sn (0.195, 0.750, 0.890)
Sn (0.805, 0.250, 0.110)
Sn (0.822, 0.023, 0.644)
Sn (0.178, 0.977, 0.356)
Tb (0.607, 0.903, 0.215)
Tb (0.893, 0.403, 0.785)
Tb (0.107, 0.597, 0.215)
Tb (0.393, 0.097, 0.785)


Here is a relaxed LiTbSn crystal from the Alexandria database. Energies are from PBE-GGA.

## Properties
Calculated volume   28.90 Å³/atom
Density of states at the Fermi level   4.4 states/eV/cell
Calculated total energy   -3.71 eV per atom
Energy of formation   -0.6 eV/f.u.

abc: 4.792 4.793 9.117
angles: 75.20 75.22 60.07
Fractional positions:
Li (0.219, 0.505, 0.471)
Li (0.703, 0.990, 0.010)
Tb (0.960, 0.248, 0.241)
Tb (0.460, 0.748, 0.741)
Sn (0.345, 0.633, 0.083)
Sn (0.575, 0.863, 0.399)


Here is a relaxed LiTbSn crystal from the Alexandria database. Energies are from PBE-GGA.

## Properties
Calculated volume   23.48 Å³/atom
Density of states at the Fermi level   1.9 states/eV/cell
Calculated total energy   -4.17 eV per atom
Energy of formation   -2.0 eV/f.u.

abc: 4.710 4.710 7.331
angles: 90.00 90.00 120.00
Fractional positions:
Sn (0.667, 0.833, 0.750)
Sn (0.333, 0.167, 0.250)
Li (0.667, 0.833, 0.250)
Li (0.333, 0.167, 0.750)
Tb (0.000, 0.500, 0.500)
Tb (0.000, 0.500, 0.000)


Here is a relaxed LiTb2Sn9 crystal from the Alexandria database. Energies are from PBE-GGA.

## Properties
Calculated volume   25.84 Å³/atom
Density of states at the Fermi level   5.1 states/eV/cell
Calculated total energy   -4.28 eV per atom
Energy of formation   -4.1 eV/f.u.

abc: 4.658 4.658 14.295
angles: 90.00 90.00 90.00
Fractional positions:
Sn (0.500, 0.000, 0.839)
Sn (0.000, 0.500, 0.161)
Sn (0.000, 0.500, 0.839)
Sn (0.500, 0.000, 0.500)
Sn (0.500, 0.000, 0.161)
Sn (0.500, 0.500, 0.672)
Sn (0.000, 0.500, 0.500)
Sn (0.500, 0.500, 0.000)
Sn (0.500, 0.500, 0.328)
Tb (0.000, 0.000, 0.663)
Tb (0.000, 0.000, 0.337)
Li (0.000, 0.000, 0.000)


Here is a relaxed LiTb2Sn crystal from the Alexandria database. Energies are from PBE-GGA.

## Properties
Calculated volume   25.80 Å³/atom
Density of states at the Fermi level   3.4 states/eV/cell
Calculated total energy   -4.21 eV per atom
Energy of formation   -1.7 eV/f.u.

abc: 4.266 4.919 4.919
angles: 90.00 90.00 90.00
Last column: magnetic moment on the atom in μB.
Fractional positions:
Tb (0.000, 0.000, 0.500)  0.06
Tb (0.000, 0.500, 0.000)  0.06
Sn (0.500, 0.000, 0.000)  0.00
Li (0.500, 0.500, 0.500)  0.00


Here is a relaxed LiTb3Sn3 crystal from the Alexandria database. Energies are from PBE-GGA.

## Properties
Calculated volume   26.01 Å³/atom
Density of states at the Fermi level   8.0 states/eV/cell
Calculated total energy   -4.65 eV per atom
Energy of formation   -4.7 eV/f.u.

abc: 4.573 6.146 14.170
angles: 83.37 80.71 68.16
Fractional positions:
Li (0.761, 0.079, 0.399)
Li (0.239, 0.921, 0.601)
Tb (0.466, 0.684, 0.384)
Tb (0.258, 0.260, 0.223)
Tb (0.742, 0.740, 0.777)
Tb (0.594, 0.731, 0.081)
Tb (0.534, 0.316, 0.616)
Tb (0.406, 0.269, 0.919)
Sn (0.869, 0.187, 0.075)
Sn (0.131, 0.813, 0.925)
Sn (0.971, 0.822, 0.236)
Sn (0.863, 0.721, 0.552)
Sn (0.137, 0.279, 0.448)
Sn (0.029, 0.178, 0.764)


Here is a relaxed LiTb2Sn crystal from the Alexandria database. Energies are from PBE-GGA.

## Properties
Calculated volume   26.37 Å³/atom
Density of states at the Fermi level   6.6 states/eV/cell
Calculated total energy   -4.22 eV per atom
Energy of formation   -1.7 eV/f.u.

abc: 4.680 6.383 7.378
angles: 106.85 90.00 90.00
Fractional positions:
Sn (0.750, 0.622, 0.300)
Sn (0.250, 0.378, 0.700)
Tb (0.250, 0.857, 0.596)
Tb (0.750, 0.217, 0.928)
Tb (0.750, 0.143, 0.404)
Tb (0.250, 0.783, 0.072)
Li (0.250, 0.372, 0.272)
Li (0.750, 0.628, 0.728)


Here is a relaxed LiTbSn crystal from the Alexandria database. Energies are from PBE-GGA.

## Properties
Calculated volume   25.66 Å³/atom
Density of states at the Fermi level   2.7 states/eV/cell
Calculated total energy   -3.81 eV per atom
Energy of formation   -0.9 eV/f.u.

abc: 5.016 5.016 7.065
angles: 90.00 90.00 120.00
Fractional positions:
Tb (0.667, 0.333, 0.114)
Tb (0.333, 0.667, 0.886)
Li (0.667, 0.333, 0.623)
Li (0.333, 0.667, 0.377)
Sn (0.000, 0.000, 0.745)
Sn (0.000, 0.000, 0.255)


Here is a relaxed Li2Tb5Sn5 crystal from the Alexandria database. Energies are from PBE-GGA.

## Properties
Calculated volume   26.24 Å³/atom
Density of states at the Fermi level   6.7 states/eV/cell
Calculated total energy   -4.42 eV per atom
Energy of formation   -6.1 eV/f.u.

abc: 4.701 6.354 13.169
angles: 118.15 90.00 111.71
Fractional positions:
Tb (0.660, 0.320, 0.010)
Tb (0.671, 0.342, 0.278)
Tb (0.329, 0.658, 0.722)
Tb (0.340, 0.680, 0.990)
Tb (0.500, 0.000, 0.500)
Li (0.945, 0.891, 0.218)
Li (0.055, 0.109, 0.782)
Sn (0.153, 0.306, 0.441)
Sn (0.325, 0.650, 0.219)
Sn (0.000, 0.000, 0.000)
Sn (0.847, 0.694, 0.559)
Sn (0.675, 0.350, 0.781)


Here is a relaxed LiTbSn5 crystal from the Alexandria database. Energies are from PBE-GGA.

## Properties
Calculated volume   25.81 Å³/atom
Density of states at the Fermi level   2.9 states/eV/cell
Calculated total energy   -4.11 eV per atom
Energy of formation   -2.2 eV/f.u.

abc: 4.497 4.498 8.933
angles: 90.00 90.00 90.00
Fractional positions:
Sn (0.000, 0.500, 0.787)
Sn (0.500, 0.000, 0.787)
Sn (0.500, 0.000, 0.213)
Sn (0.000, 0.500, 0.213)
Sn (0.500, 0.500, 0.500)
Li (0.500, 0.500, 0.000)
Tb (0.000, 0.000, 0.500)